# SrZr2W GGA-PBE optimized geometry
# symmetry	R-3m, No. 166
# excess energy over the best structure of this formula in the dataset	237	meV/atom
# energy of formation from the pure elements	0.53	eV per atom
# total magnetization	0.0	Bohr magnetons per cell
data_SrZr2W
_cell_length_a 10.4755
_cell_length_b 10.4755
_cell_length_c 10.4755
_cell_angle_alpha 18.64
_cell_angle_beta 18.64
_cell_angle_gamma 18.64
_symmetry_space_group_name_H-M 'P 1'
_symmetry_Int_Tables_number 1
loop_
_symmetry_equiv_pos_as_xyz
'x,y,z'
loop_
_atom_site_label
_atom_site_fract_x
_atom_site_fract_y
_atom_site_fract_z
_atom_site_occupancy
Sr1 0.0000 0.0000 0.0000 1
Zr1 0.2311 0.2311 0.2311 1
Zr2 0.7689 0.7689 0.7689 1
W1 0.5000 0.5000 0.5000 1